## Sr2DyAs3Pt4 (PBE-GGA)

Data for a geometry-optimized Sr2DyAs3Pt4 structure.

The structure in POSCAR format:
```
Sr2DyAs3Pt4
1.0
4.391 0.000 0.000
0.000 4.391 0.000
0.000 0.000 11.253
Pt As Dy Sr
4 3 1 2
Direct
0.500 0.500 0.000
0.000 0.000 0.000
0.000 0.500 0.344
0.500 0.000 0.656
0.500 0.000 0.878
0.000 0.500 0.122
0.000 0.000 0.500
0.500 0.500 0.500
0.500 0.000 0.226
0.000 0.500 0.774
```

Summary:
Energy relative to the elements in eV/atom: -0.87
D(E_F) in states/eV per atom: 0.646